DFT (PBE with a Hubbard U) results for crystalline CoSnF6 at its relaxed geometry.

```
data_CoSnF6
_chemical_formula_sum 'Co3 Sn3 F18'
_symmetry_space_group_name_H-M 'R -3'
_symmetry_Int_Tables_number 148
_symmetry_space_group_name_Hall '-R 3'
_cell_length_a 5.3003
_cell_length_b 5.3003
_cell_length_c 14.0344
_cell_angle_alpha 90.00
_cell_angle_beta 90.00
_cell_angle_gamma 120.00
loop_
_atom_site_label
_atom_site_type_symbol
_atom_site_fract_x
_atom_site_fract_y
_atom_site_fract_z
_atom_site_occupancy
Co1 Co 0.0000 0.0000 0.0000 1
Sn1 Sn 0.0000 0.0000 0.5000 1
F1 F 0.0046 0.6227 0.2491 1
```

Output
Total energy ... -117.7 eV per cell